No. 1
YCr2Pd | Alexandria | GGA-PBE | optimized geometry; DOS(E_F) = 1.3182 states/eV/atom; E_form = 0.53 eV per atom; calculated volume = 20.000 Å³/atom
1.0
4.0921 0.0000 0.0000
0.0000 4.0921 0.0000
2.0461 2.0461 9.5549
Cr Pd Y
4 2 2
Direct
0.8750 0.1250 0.2500
0.3750 0.1250 0.7500
0.8750 0.6250 0.2500
0.8750 0.1250 0.7500
0.7500 0.2500 0.5000
0.0000 0.0000 0.0000
0.2500 0.7500 0.5000
0.5000 0.5000 0.0000



No. 2
Y3TlO | Alexandria | GGA-PBE | optimized geometry; DOS(E_F) = 1.0360 states/eV/atom; E_form (uncorrected) = -0.630 eV/atom; calculated volume = 34.794 Å³/atom
1.0
4.5264 0.0000 0.0000
0.0000 4.5264 0.0000
0.0000 0.0000 8.4912
Y O Tl
3 1 1
Direct
0.0000 0.5000 0.4475
0.0000 0.0000 0.7887
0.5000 0.0000 0.4475
0.5000 0.5000 0.4268
0.0000 0.0000 0.1533



No. 3
CeIr3 | Alexandria | GGA-PBE | optimized geometry; DOS(E_F) = 1.0486 states/eV/atom; E_form = -0.61 eV per atom; calculated volume = 18.116 Å³/atom
1.0
-2.1965 -4.8868 -7.6720
1.8317 -7.4718 -5.3275
-3.1424 -8.0836 -3.5138
Ir Ce
9 3
Direct
0.5000 0.5000 0.5000
0.3333 0.3333 0.3333
0.4171 0.4171 0.9187
0.5829 0.0813 0.5829
0.4171 0.9187 0.4171
0.5829 0.5829 0.0813
0.0813 0.5829 0.5829
0.9187 0.4171 0.4171
0.6667 0.6667 0.6667
0.1388 0.1388 0.1388
0.8612 0.8612 0.8612
0.0000 0.0000 0.0000



No. 4
TcHgN2 | Alexandria | GGA-PBE | optimized geometry; DOS(E_F) = 0.3190 states/eV/atom; E_form (uncorrected) = 0.262 eV/atom; calculated volume = 19.132 Å³/atom
1.0
-0.1135 1.2866 -5.8663
0.9917 -5.7828 -1.2874
-3.7438 -2.9492 -3.6497
N Tc Hg
4 2 2
Direct
0.8750 0.6245 0.7500
0.3755 0.6250 0.2500
0.3750 0.6255 0.7500
0.3745 0.1250 0.2500
0.5000 0.5000 0.0000
0.2500 0.7500 0.5000
0.7500 0.2500 0.5000
0.0000 0.0000 0.0000



Question: Look up the calculated volume of the third one.
Answer: 18.116 Å³/atom